1.
CuTe2Pb | GGA-PBE | optimized geometry

a b c (Å): 10.040 10.040 10.040
angles (deg): 20.94 20.94 20.94
Atoms (fractional coordinates):
Te  0.889  0.889  0.889
Te  0.111  0.111  0.111
Pb  0.000  0.000  0.000
Cu  0.500  0.500  0.500

Values from the calculation:
ρ in g/cm³: 7.7
Space-group type: R-3m
Energy relative to the elements, uncorrected in meV per atom: 46
Magnetic moment in μB per atom: 0.000
Raw total energy in eV per atom: -3.476

2.
CaHg4F12 | GGA-PBE | optimized geometry

a b c (Å): 7.463 7.463 7.463
angles (deg): 108.25 111.91 108.28
Atoms (fractional coordinates):
Hg  0.000  0.500  0.000
F  0.172  0.722  0.894
F  0.299  0.500  0.200
F  0.395  0.723  0.672
F  0.701  0.901  0.200
F  0.828  0.722  0.550
F  0.701  0.500  0.800
Hg  0.000  0.000  0.500
F  0.605  0.277  0.328
F  0.050  0.723  0.328
F  0.950  0.277  0.672
F  0.828  0.278  0.106
F  0.299  0.099  0.800
Hg  0.500  0.000  0.000
F  0.172  0.278  0.450
Ca  0.000  0.500  0.500
Hg  0.500  0.500  0.500

Values from the calculation:
ρ in g/cm³: 5.6
Space-group type: I4/mmm
Energy relative to the elements, uncorrected in meV per atom: -1705
Magnetic moment in μB per atom: 0.000
Raw total energy in eV per atom: -3.215

3.
AlReRu2 | GGA-PBE | optimized geometry

a b c (Å): 4.878 4.878 4.878
angles (deg): 135.12 135.12 65.34
Atoms (fractional coordinates):
Ru  0.000  0.000  0.000
Ru  0.250  0.750  0.500
Re  0.750  0.250  0.500
Al  0.500  0.500  0.000

Values from the calculation:
ρ in g/cm³: 12.1
Space-group type: I-4m2
Magnetic moment in μB per atom: 0.000
Energy of formation in meV/atom: -89
Raw total energy in eV per atom: -8.774

4.
Ba3BC | GGA-PBE | optimized geometry

a b c (Å): 5.598 5.598 5.598
angles (deg): 90.00 90.00 90.00
Site moments in Bohr magnetons follow the coordinates.
Atoms (fractional coordinates):
Ba  0.500  0.000  0.000  0.11
Ba  0.000  0.000  0.500  0.08
C  0.000  0.000  0.000  0.32
B  0.500  0.500  0.500  0.45
Ba  0.000  0.500  0.000  0.10

Values from the calculation:
ρ in g/cm³: 4.1
Space-group type: Pm-3m
Magnetic moment in μB per atom: 0.577
Energy of formation in meV/atom: 1057
Raw total energy in eV per atom: -3.277
Energy above the most stable polymorph in this dataset in meV per atom: 0

5.
ScCu4Se | GGA-PBE | optimized geometry

a b c (Å): 5.019 5.019 5.019
angles (deg): 60.00 60.00 60.00
Atoms (fractional coordinates):
Cu  0.375  0.375  0.375
Cu  0.874  0.375  0.375
Sc  0.750  0.750  0.750
Se  0.000  0.000  0.000
Cu  0.375  0.874  0.375
Cu  0.375  0.375  0.874

Values from the calculation:
ρ in g/cm³: 7.0
Space-group type: F-43m
Energy relative to the elements, uncorrected in meV per atom: -141
Magnetic moment in μB per atom: 0.000
Raw total energy in eV per atom: -4.508

6.
CrReN | GGA-PBE | optimized geometry

a b c (Å): 2.815 3.698 3.698
angles (deg): 120.00 90.00 90.00
Atoms (fractional coordinates):
Cr  0.653  0.333  0.667
Re  0.169  0.000  0.000
N  0.178  0.667  0.333

Values from the calculation:
ρ in g/cm³: 12.6
Space-group type: P3m1
Energy relative to the elements, uncorrected in meV per atom: 610
Magnetic moment in μB per atom: 0.000
Raw total energy in eV per atom: -9.522

7.
YCoGe2 | GGA-PBE | optimized geometry

a b c (Å): 4.145 6.837 10.070
angles (deg): 90.00 90.00 90.00
Atoms (fractional coordinates):
Co  0.750  0.488  0.121
Ge  0.750  0.639  0.325
Ge  0.250  0.361  0.675
Y  0.250  0.327  0.373
Ge  0.750  0.170  0.572
Ge  0.250  0.330  0.072
Ge  0.750  0.670  0.928
Y  0.750  0.173  0.873
Co  0.750  0.988  0.379
Co  0.250  0.012  0.621
Y  0.750  0.673  0.627
Ge  0.750  0.139  0.175
Y  0.250  0.827  0.127
Co  0.250  0.512  0.879
Ge  0.250  0.830  0.428
Ge  0.250  0.861  0.825

Values from the calculation:
ρ in g/cm³: 6.8
Space-group type: Pnma
Magnetic moment in μB per atom: 0.000
Energy of formation in meV/atom: -627
Raw total energy in eV per atom: -6.329

8.
HfBe2I8 | GGA-PBE | optimized geometry

a b c (Å): 6.625 8.566 8.566
angles (deg): 75.09 88.47 88.47
Atoms (fractional coordinates):
Be  0.364  0.183  0.183
I  0.261  0.825  0.825
I  0.759  0.721  0.097
I  0.241  0.903  0.279
I  0.728  0.652  0.652
I  0.241  0.279  0.903
I  0.759  0.097  0.721
I  0.272  0.348  0.348
Be  0.636  0.817  0.817
Hf  0.000  0.000  0.000
I  0.739  0.175  0.175

Values from the calculation:
ρ in g/cm³: 4.3
Space-group type: C2/m
Energy relative to the elements, uncorrected in meV per atom: -647
Magnetic moment in μB per atom: 0.000
Raw total energy in eV per atom: -3.357

9.
AsPbSBr2 | GGA-PBE | optimized geometry

a b c (Å): 5.201 5.201 5.030
angles (deg): 90.00 90.00 90.00
Atoms (fractional coordinates):
Pb  0.500  0.500  0.500
As  0.000  0.000  0.500
Br  0.000  0.500  0.000
S  0.000  0.000  0.000
Br  0.500  0.000  0.000

Values from the calculation:
ρ in g/cm³: 5.8
Space-group type: P4/mmm
Energy relative to the elements, uncorrected in meV per atom: 257
Magnetic moment in μB per atom: 0.000
Raw total energy in eV per atom: -2.909
Energy above the most stable polymorph in this dataset in meV per atom: 0

10.
RbMo2Pt | GGA-PBE | optimized geometry

a b c (Å): 4.660 4.660 4.660
angles (deg): 60.00 60.00 60.00
Atoms (fractional coordinates):
Rb  0.000  0.000  0.000
Pt  0.500  0.500  0.500
Mo  0.750  0.750  0.750
Mo  0.250  0.250  0.250

Values from the calculation:
ρ in g/cm³: 11.0
Space-group type: Fm-3m
Magnetic moment in μB per atom: 0.000
Energy of formation in meV/atom: 1493
Raw total energy in eV per atom: -5.675
Energy above the most stable polymorph in this dataset in meV per atom: 156

11.
Y2TePd | GGA-PBE | optimized geometry

a b c (Å): 4.503 4.024 11.750
angles (deg): 99.86 90.00 90.00
Atoms (fractional coordinates):
Y  0.750  0.942  0.883
Pd  0.250  0.460  0.920
Pd  0.750  0.540  0.080
Te  0.250  0.195  0.390
Y  0.250  0.335  0.671
Y  0.750  0.665  0.329
Y  0.250  0.058  0.117
Te  0.750  0.805  0.610

Values from the calculation:
ρ in g/cm³: 6.5
Space-group type: Cmcm
Energy relative to the elements, uncorrected in meV per atom: -1088
Magnetic moment in μB per atom: 0.000
Raw total energy in eV per atom: -6.403

12.
NbCo2Se6 | GGA-PBE | optimized geometry

a b c (Å): 4.367 6.064 8.162
angles (deg): 70.14 74.48 68.89
Atoms (fractional coordinates):
Se  0.656  0.293  0.395
Se  0.988  0.822  0.202
Se  0.344  0.707  0.605
Co  0.817  0.260  0.106
Co  0.183  0.740  0.894
Nb  0.000  0.500  0.500
Se  0.340  0.313  0.008
Se  0.012  0.178  0.798
Se  0.660  0.687  0.992

Values from the calculation:
ρ in g/cm³: 6.1
Space-group type: C2/m
Energy relative to the elements, uncorrected in meV per atom: -210
Magnetic moment in μB per atom: 0.000
Raw total energy in eV per atom: -5.231